Li5Ni2P3O12 | PBE+U | optimized geometry

```
Li5Ni2P3O12
1.0
-8.0290 -2.3483 1.9535
1.9286 -8.3134 -2.0668
3.5423 -2.0549 11.5710
O P Li Ni
48 12 20 8
Direct
0.0346 0.0051 0.4672
0.8769 0.9765 0.9963
0.5905 0.7692 0.9438
0.3662 0.5162 0.4929
0.0462 0.6786 0.8044
0.2964 0.6242 0.7004
0.4572 0.9835 0.0433
0.1231 0.4765 0.0037
0.1844 0.0864 0.0589
0.4095 0.2692 0.0562
0.4458 0.3196 0.6886
0.1807 0.3629 0.3715
0.1279 0.9280 0.2804
0.1056 0.7255 0.4289
0.6323 0.6088 0.7774
0.9084 0.2589 0.9424
0.5542 0.8196 0.3114
0.9646 0.0436 0.8104
0.0916 0.7589 0.0576
0.4487 0.4705 0.3042
0.9654 0.5051 0.5328
0.8017 0.8624 0.1965
0.8417 0.3640 0.3311
0.9538 0.1786 0.1956
0.7036 0.1242 0.2996
0.6816 0.1082 0.8796
0.4305 0.2443 0.4325
0.5428 0.4835 0.9567
0.5513 0.9705 0.6958
0.3677 0.1088 0.2226
0.8193 0.8629 0.6285
0.3536 0.1292 0.8234
0.6464 0.6292 0.1766
0.3150 0.9250 0.4415
0.1983 0.3624 0.8035
0.1583 0.8640 0.6689
0.0354 0.5436 0.1896
0.3184 0.6082 0.1204
0.8156 0.5864 0.9411
0.8944 0.2255 0.5711
0.7960 0.6712 0.3572
0.5695 0.7443 0.5675
0.7116 0.3240 0.1437
0.6850 0.4250 0.5585
0.2884 0.8240 0.8563
0.6338 0.0162 0.5071
0.2040 0.1712 0.6428
0.8721 0.4280 0.7196
0.2941 0.2488 0.7386
0.6426 0.6096 0.9020
0.7994 0.2460 0.2413
0.3574 0.1096 0.0980
0.7059 0.7488 0.2614
0.8565 0.3949 0.5983
0.1396 0.5977 0.0958
0.6441 0.8969 0.6010
0.1435 0.8949 0.4017
0.3559 0.3969 0.3990
0.8604 0.0977 0.9042
0.2006 0.7460 0.7587
0.1766 0.5975 0.5595
0.8234 0.0975 0.4405
0.1569 0.1663 0.2751
0.3248 0.9789 0.6026
0.8918 0.7319 0.4976
0.3245 0.4019 0.9388
0.6755 0.9019 0.0612
0.9510 0.7716 0.9360
0.5881 0.1828 0.7559
0.3657 0.7757 0.0091
0.8431 0.6663 0.7249
0.0490 0.2716 0.0640
0.6343 0.2757 0.9909
0.6752 0.4789 0.3974
0.1784 0.0252 0.8957
0.4399 0.7358 0.4468
0.1082 0.2319 0.5024
0.8216 0.5252 0.1043
0.4119 0.6828 0.2441
0.5601 0.2358 0.5532
0.0005 0.5290 0.3535
0.9943 0.4535 0.8603
0.5042 0.4493 0.1385
0.9995 0.0290 0.6465
0.5025 0.5427 0.6448
0.4975 0.0427 0.3552
0.4958 0.9493 0.8615
0.0057 0.9535 0.1397
```

Summary:
Polymorph energy (0 for the lowest one) ... 0.0 meV per atom
Space-group type ... P2_1, No. 4